Version one
The following is a PBE-GGA calculation of a relaxed structure of PrPbNO, from OQMD.

The structure in CIF format:
```
data_PrPbNO
_space_group_name_H-M_alt 'P 4/n m m'
_space_group_IT_number 129
_cell_length_a 4.339
_cell_length_b 4.339
_cell_length_c 7.953
_cell_angle_alpha 90.00
_cell_angle_beta 90.00
_cell_angle_gamma 90.00
loop_
_space_group_symop_operation_xyz
'x,y,z'
'-x,-y,-z'
'-y+1/2,x,z'
'y+1/2,-x,-z'
'-x+1/2,-y+1/2,z'
'x+1/2,y+1/2,-z'
'y,-x+1/2,z'
'-y,x+1/2,-z'
'x+1/2,-y,-z'
'-x+1/2,y,z'
'-y,-x,-z'
'y,x,z'
'-x,y+1/2,-z'
'x,-y+1/2,z'
'y+1/2,x+1/2,-z'
'-y+1/2,-x+1/2,z'
loop_
_atom_site_label
_atom_site_type_symbol
_atom_site_fract_x
_atom_site_fract_y
_atom_site_fract_z
Pr1 Pr 0.250 0.250 0.126
Pb1 Pb 0.250 0.750 0.500
N1 N 0.250 0.250 0.660
O1 O 0.250 0.750 0.000
```

---

Version two
The following is a PBE-GGA calculation of a relaxed structure of PrPbNO, from OQMD.

The structure in CIF format:
```
data_PrPbNO
_space_group_name_H-M_alt 'P 4/n m m'
_space_group_IT_number 129
_cell_length_a 5.165
_cell_length_b 5.165
_cell_length_c 5.223
_cell_angle_alpha 90.00
_cell_angle_beta 90.00
_cell_angle_gamma 90.00
loop_
_space_group_symop_operation_xyz
'x,y,z'
'-x,-y,-z'
'-y+1/2,x,z'
'y+1/2,-x,-z'
'-x+1/2,-y+1/2,z'
'x+1/2,y+1/2,-z'
'y,-x+1/2,z'
'-y,x+1/2,-z'
'x+1/2,-y,-z'
'-x+1/2,y,z'
'-y,-x,-z'
'y,x,z'
'-x,y+1/2,-z'
'x,-y+1/2,z'
'y+1/2,x+1/2,-z'
'-y+1/2,-x+1/2,z'
loop_
_atom_site_label
_atom_site_type_symbol
_atom_site_fract_x
_atom_site_fract_y
_atom_site_fract_z
Pr1 Pr 0.250 0.750 0.000
Pb1 Pb 0.250 0.250 0.491
N1 N 0.250 0.250 0.032
O1 O 0.250 0.750 0.500
```

---

Q: Which of them is the least stable? A: version one.

---

Version one
The following is a PBE-GGA calculation of a relaxed structure of PtPbNO, from OQMD.

The structure in CIF format:
```
data_PtPbNO
_space_group_name_H-M_alt 'P c a 21'
_space_group_IT_number 29
_cell_length_a 5.798
_cell_length_b 7.234
_cell_length_c 5.543
_cell_angle_alpha 90.00
_cell_angle_beta 90.00
_cell_angle_gamma 90.00
loop_
_space_group_symop_operation_xyz
'x,y,z'
'-x,-y,z+1/2'
'-x+1/2,y,z+1/2'
'x+1/2,-y,z'
loop_
_atom_site_label
_atom_site_type_symbol
_atom_site_fract_x
_atom_site_fract_y
_atom_site_fract_z
Pt1 Pt 0.124 0.159 0.000
Pb1 Pb 0.045 0.665 0.944
N1 N 0.074 0.638 0.357
O1 O 0.154 0.983 0.675
```

---

Version two
The following is a PBE-GGA calculation of a relaxed structure of PtPbNO, from OQMD.

The structure in CIF format:
```
data_PtPbNO
_space_group_name_H-M_alt 'P 4/n m m'
_space_group_IT_number 129
_cell_length_a 3.995
_cell_length_b 3.995
_cell_length_c 8.687
_cell_angle_alpha 90.00
_cell_angle_beta 90.00
_cell_angle_gamma 90.00
loop_
_space_group_symop_operation_xyz
'x,y,z'
'-x,-y,-z'
'-y+1/2,x,z'
'y+1/2,-x,-z'
'-x+1/2,-y+1/2,z'
'x+1/2,y+1/2,-z'
'y,-x+1/2,z'
'-y,x+1/2,-z'
'x+1/2,-y,-z'
'-x+1/2,y,z'
'-y,-x,-z'
'y,x,z'
'-x,y+1/2,-z'
'x,-y+1/2,z'
'y+1/2,x+1/2,-z'
'-y+1/2,-x+1/2,z'
loop_
_atom_site_label
_atom_site_type_symbol
_atom_site_fract_x
_atom_site_fract_y
_atom_site_fract_z
Pt1 Pt 0.250 0.750 0.000
Pb1 Pb 0.250 0.250 0.361
N1 N 0.250 0.250 0.917
O1 O 0.250 0.750 0.500
```

---

Q: Which of them is the least stable? A: version one.

---

Version one
The following is a PBE-GGA calculation of a relaxed structure of TaPbNO, from OQMD.

The structure in CIF format:
```
data_TaPbNO
_space_group_name_H-M_alt 'P m c 21'
_space_group_IT_number 26
_cell_length_a 3.358
_cell_length_b 7.959
_cell_length_c 6.068
_cell_angle_alpha 90.00
_cell_angle_beta 90.00
_cell_angle_gamma 90.00
loop_
_space_group_symop_operation_xyz
'x,y,z'
'-x,-y,z+1/2'
'-x,y,z'
'x,-y,z+1/2'
loop_
_atom_site_label
_atom_site_type_symbol
_atom_site_fract_x
_atom_site_fract_y
_atom_site_fract_z
Ta1 Ta 0.000 0.144 0.000
Pb1 Pb 0.500 0.435 0.489
N1 N 0.500 0.260 0.961
O1 O 0.000 0.023 0.274
```

---

Version two
The following is a PBE-GGA calculation of a relaxed structure of TaPbNO, from OQMD.

The structure in CIF format:
```
data_TaPbNO
_space_group_name_H-M_alt 'P c a 21'
_space_group_IT_number 29
_cell_length_a 5.871
_cell_length_b 8.075
_cell_length_c 5.388
_cell_angle_alpha 90.00
_cell_angle_beta 90.00
_cell_angle_gamma 90.00
loop_
_space_group_symop_operation_xyz
'x,y,z'
'-x,-y,z+1/2'
'-x+1/2,y,z+1/2'
'x+1/2,-y,z'
loop_
_atom_site_label
_atom_site_type_symbol
_atom_site_fract_x
_atom_site_fract_y
_atom_site_fract_z
Ta1 Ta 0.118 0.149 0.000
Pb1 Pb 0.039 0.646 0.986
N1 N 0.038 0.639 0.489
O1 O 0.120 0.001 0.640
```

---

Q: Which of them is the least stable? A: version two.

---

Version one
The following is a PBE-GGA calculation of a relaxed structure of TaPbNO, from OQMD.

The structure in CIF format:
```
data_TaPbNO
_space_group_name_H-M_alt 'P 4/n m m'
_space_group_IT_number 129
_cell_length_a 4.260
_cell_length_b 4.260
_cell_length_c 7.957
_cell_angle_alpha 90.00
_cell_angle_beta 90.00
_cell_angle_gamma 90.00
loop_
_space_group_symop_operation_xyz
'x,y,z'
'-x,-y,-z'
'-y+1/2,x,z'
'y+1/2,-x,-z'
'-x+1/2,-y+1/2,z'
'x+1/2,y+1/2,-z'
'y,-x+1/2,z'
'-y,x+1/2,-z'
'x+1/2,-y,-z'
'-x+1/2,y,z'
'-y,-x,-z'
'y,x,z'
'-x,y+1/2,-z'
'x,-y+1/2,z'
'y+1/2,x+1/2,-z'
'-y+1/2,-x+1/2,z'
loop_
_atom_site_label
_atom_site_type_symbol
_atom_site_fract_x
_atom_site_fract_y
_atom_site_fract_z
Ta1 Ta 0.250 0.250 0.041
Pb1 Pb 0.250 0.750 0.500
N1 N 0.250 0.250 0.263
O1 O 0.250 0.750 0.000
```

---

Version two
The following is a PBE-GGA calculation of a relaxed structure of TaPbNO, from OQMD.

The structure in CIF format:
```
data_TaPbNO
_space_group_name_H-M_alt 'P m c 21'
_space_group_IT_number 26
_cell_length_a 3.624
_cell_length_b 7.328
_cell_length_c 6.043
_cell_angle_alpha 90.00
_cell_angle_beta 90.00
_cell_angle_gamma 90.00
loop_
_space_group_symop_operation_xyz
'x,y,z'
'-x,-y,z+1/2'
'-x,y,z'
'x,-y,z+1/2'
loop_
_atom_site_label
_atom_site_type_symbol
_atom_site_fract_x
_atom_site_fract_y
_atom_site_fract_z
Ta1 Ta 0.000 0.149 0.000
Pb1 Pb 0.500 0.417 0.470
N1 N 0.000 0.034 0.279
O1 O 0.500 0.242 0.965
```

---

Q: Which of them is the least stable? A: version one.